Computed, not measured: RbSmZr after structural relaxation at the GGA-PBE level of DFT.

Cell and atoms, written as POSCAR:
```
RbSmZr
1.0
0.000 4.097 4.097
4.097 0.000 4.097
4.097 4.097 0.000
Rb Sm Zr
1 1 1
direct
0.000 0.000 0.000 Rb
0.250 0.250 0.250 Sm
0.500 0.500 0.500 Zr
```

Calculated values
**E**: -3.192 eV per atom